# Ti2H2Pd | Alexandria | SCAN | single point on PBEsol structure
# * V: 10.10 Å³ per atom
# * energy: -14.897 eV/atom
data_Ti2H2Pd
_chemical_formula_sum 'Ti2 H2 Pd1'
_cell_length_a 2.862
_cell_length_b 2.862
_cell_length_c 6.492
_cell_angle_alpha 102.73
_cell_angle_beta 102.73
_cell_angle_gamma 90.00
_symmetry_space_group_name_H-M 'P 1'
_symmetry_Int_Tables_number 1
_symmetry_space_group_name_Hall 'P 1'
loop_
_atom_site_label
_atom_site_fract_x
_atom_site_fract_y
_atom_site_fract_z
H1 0.250 0.750 0.500
H2 0.750 0.250 0.500
Pd1 0.000 0.000 0.000
Ti1 0.349 0.349 0.698
Ti2 0.651 0.651 0.302

---

# HPd3W | Alexandria | SCAN | single point on PBEsol structure
# * V: 21.57 Å³ per atom
# * energy: -32.536 eV/atom
data_HPd3W
_chemical_formula_sum 'H1 Pd3 W1'
_cell_length_a 4.760
_cell_length_b 4.760
_cell_length_c 4.760
_cell_angle_alpha 90.00
_cell_angle_beta 90.00
_cell_angle_gamma 90.00
_symmetry_space_group_name_H-M 'P 1'
_symmetry_Int_Tables_number 1
_symmetry_space_group_name_Hall 'P 1'
loop_
_atom_site_label
_atom_site_fract_x
_atom_site_fract_y
_atom_site_fract_z
H1 0.500 0.500 0.500
Pd1 0.000 0.500 0.000
Pd2 0.000 0.000 0.500
Pd3 0.500 0.000 0.000
W1 0.000 0.000 0.000

---

# YHPd3 | Alexandria | SCAN | single point on PBEsol structure
# * V: 14.07 Å³ per atom
# * energy: -26.722 eV/atom
# * energy above the lowest structure with this stoichiometry: 0.0 meV/atom
data_YHPd3
_chemical_formula_sum 'Y2 H2 Pd6'
_cell_length_a 4.831
_cell_length_b 5.800
_cell_length_c 5.800
_cell_angle_alpha 120.00
_cell_angle_beta 90.00
_cell_angle_gamma 90.00
_symmetry_space_group_name_H-M 'P 1'
_symmetry_Int_Tables_number 1
_symmetry_space_group_name_Hall 'P 1'
loop_
_atom_site_label
_atom_site_fract_x
_atom_site_fract_y
_atom_site_fract_z
Y1 0.250 0.667 0.333
Y2 0.750 0.333 0.667
H1 0.750 0.667 0.333
H2 0.250 0.333 0.667
Pd1 0.250 0.156 0.311
Pd2 0.250 0.156 0.844
Pd3 0.750 0.844 0.156
Pd4 0.250 0.689 0.844
Pd5 0.750 0.844 0.689
Pd6 0.750 0.311 0.156